# ScOs3S

A geometry-optimized ScOs3S structure (PBE, Alexandria).

Properties
total energy = -41.67 eV for the cell shown
theoretical density = 12.901 g/cm³
energy relative to the elements, uncorrected = 0.495 eV/atom
SG = No. 221
relative energy among the computed polymorphs = 0.000 eV/f.u.

Unit cell a=4.3686 b=4.3686 c=4.3686 alpha=90.00 beta=90.00 gamma=90.00
With the nearest neighbours (Å) after each atom.
Sites, in units of the cell vectors:
Sc 0.0000 0.0000 0.0000  12 Os 3.09
Os 0.0000 0.5000 0.5000  2 S 2.18
Os 0.5000 0.0000 0.5000  2 S 2.18
Os 0.5000 0.5000 0.0000  2 S 2.18
S 0.5000 0.5000 0.5000  6 Os 2.18